1.
## Cs2CdP2Se6 (GGA-PBE)

Data for an optimized crystal structure of Cs2CdP2Se6.

Cell lengths 7.9640, 7.9640, 7.4403 Å; angles 101.48, 101.48, 53.60 degrees
Closest atoms and distances in Å follow each position.
Fractional positions:
Cs (0.2070, 0.2070, 0.2013)  7 Se 3.69-3.89, 1 Cd 4.06
Cs (0.7930, 0.7930, 0.7987)  7 Se 3.69-3.89, 1 Cd 4.06
Cd (0.0000, 0.0000, 0.5000)  4 Se 2.77
P (0.4855, 0.4855, 0.8359)  3 Se 2.16-2.24, 1 P 2.38
P (0.5145, 0.5145, 0.1641)  3 Se 2.16-2.24, 1 P 2.38
Se (0.1761, 0.6934, 0.2090)  1 P 2.24
Se (0.3066, 0.8239, 0.7910)  1 P 2.24
Se (0.3316, 0.3316, 0.7236)  1 P 2.16
Se (0.6684, 0.6684, 0.2764)  1 P 2.16
Se (0.6934, 0.1761, 0.2090)  1 P 2.24
Se (0.8239, 0.3066, 0.7910)  1 P 2.24

E_form (uncorrected) ... -0.52 eV per atom
SG ... C2/m (12)

---

2.
## Tl2VSnBr (GGA-PBE)

Data for an optimized crystal structure of Tl2VSnBr.

Cell lengths 5.9917, 5.9917, 4.5879 Å; angles 90.00, 90.00, 90.00 degrees
Closest atoms and distances in Å follow each position.
Fractional positions:
Tl (0.0000, 0.5000, 0.0000)  2 Br 3.00
Tl (0.5000, 0.0000, 0.0000)  2 Br 3.00
V (0.0000, 0.0000, 0.5000)  2 Br 2.29
Sn (0.5000, 0.5000, 0.5000)  8 Tl 3.77
Br (0.0000, 0.0000, 0.0000)  2 V 2.29

E_form (uncorrected) ... 0.73 eV per atom
SG ... P4/mmm (123)

---

3.
## HoAsS3 (GGA-PBE)

Data for an optimized crystal structure of HoAsS3.

Cell lengths 7.6132, 7.6132, 7.6132 Å; angles 51.71, 51.71, 51.71 degrees
Closest atoms and distances in Å follow each position.
Fractional positions:
Ho (0.1580, 0.1580, 0.1580)  6 S 2.70-2.75
Ho (0.8420, 0.8420, 0.8420)  6 S 2.70-2.75
As (0.3785, 0.3785, 0.3785)  3 S 2.33
As (0.6215, 0.6215, 0.6215)  3 S 2.33
S (0.0874, 0.7391, 0.4390)  1 As 2.33
S (0.2609, 0.5610, 0.9126)  1 As 2.33
S (0.4390, 0.0874, 0.7391)  1 As 2.33
S (0.5610, 0.9126, 0.2609)  1 As 2.33
S (0.7391, 0.4390, 0.0874)  1 As 2.33
S (0.9126, 0.2609, 0.5610)  1 As 2.33

E_form (uncorrected) ... -0.98 eV per atom
SG ... R-3 (148)

---

4.
## ZnTeCl2O (GGA-PBE)

Data for an optimized crystal structure of ZnTeCl2O.

Cell lengths 4.6426, 4.6426, 4.5915 Å; angles 90.00, 90.00, 90.00 degrees
Closest atoms and distances in Å follow each position.
Fractional positions:
Zn (0.0000, 0.0000, 0.0000)  8 Cl 3.26, 4 Te 3.28
Te (0.5000, 0.5000, 0.0000)  2 O 2.30
Cl (0.0000, 0.5000, 0.5000)  2 O 2.32
Cl (0.5000, 0.0000, 0.5000)  2 O 2.32
O (0.5000, 0.5000, 0.5000)  2 Te 2.30, 4 Cl 2.32

E_form (uncorrected) ... 0.26 eV per atom
SG ... P4/mmm (123)

---

5.
## Cr2CoRe (GGA-PBE)

Data for an optimized crystal structure of Cr2CoRe.

Cell lengths 4.5026, 4.5026, 4.5026 Å; angles 132.22, 132.22, 69.88 degrees
Closest atoms and distances in Å follow each position.
Fractional positions:
Cr (0.0000, 0.0000, 0.0000)  4 Co 2.58, 4 Re 2.59, 4 Cr 2.59
Cr (0.7500, 0.2500, 0.5000)  4 Re 2.58, 4 Co 2.59, 4 Cr 2.59
Co (0.5000, 0.5000, 0.0000)  8 Cr 2.58-2.59, 4 Re 2.59
Re (0.2500, 0.7500, 0.5000)  8 Cr 2.58-2.59, 4 Co 2.59

Raw total energy ... -38.32 eV for the cell shown
SG ... I-4m2 (119)

---

6.
## La2CrPdN (GGA-PBE)

Data for an optimized crystal structure of La2CrPdN.

Cell lengths 5.2598, 5.2598, 3.7996 Å; angles 90.00, 90.00, 90.00 degrees
Closest atoms and distances in Å follow each position.
Fractional positions:
La (0.0000, 0.5000, 0.0000)  2 N 2.63
La (0.5000, 0.0000, 0.0000)  2 N 2.63
Cr (0.0000, 0.0000, 0.5000)  2 N 1.90
Pd (0.5000, 0.5000, 0.5000)  8 La 3.24
N (0.0000, 0.0000, 0.0000)  2 Cr 1.90

E_form (uncorrected) ... -0.72 eV per atom
SG ... P4/mmm (123)

---

7.
## Nd4HoAl2 (GGA-PBE)

Data for an optimized crystal structure of Nd4HoAl2.

Cell lengths 8.7383, 8.7383, 8.7383 Å; angles 35.77, 35.77, 35.77 degrees
Closest atoms and distances in Å follow each position.
Fractional positions:
Nd (0.0907, 0.0907, 0.0907)  4 Al 3.14-3.19
Nd (0.3491, 0.3491, 0.3491)  1 Al 3.14, 3 Nd 3.19
Nd (0.6509, 0.6509, 0.6509)  1 Al 3.14, 3 Nd 3.19
Nd (0.9093, 0.9093, 0.9093)  4 Al 3.14-3.19
Ho (0.5000, 0.5000, 0.5000)  6 Al 3.37, 8 Nd 3.61-3.70
Al (0.2211, 0.2211, 0.2211)  5 Nd 3.14-3.19, 3 Ho 3.37
Al (0.7789, 0.7789, 0.7789)  5 Nd 3.14-3.19, 3 Ho 3.37

Raw total energy ... -32.32 eV for the cell shown
SG ... R-3m (166)

---

8.
## NdSbPd (GGA-PBE)

Data for an optimized crystal structure of NdSbPd.

Cell lengths 4.5948, 4.5948, 16.1795 Å; angles 90.00, 90.00, 120.00 degrees
Closest atoms and distances in Å follow each position.
Fractional positions:
Nd (0.0000, 0.0000, 0.0000)  6 Sb 3.28, 6 Pd 3.45
Nd (0.0000, 0.0000, 0.2500)  6 Pd 3.23, 6 Sb 3.40
Nd (0.0000, 0.0000, 0.5000)  6 Sb 3.28, 6 Pd 3.45
Nd (0.0000, 0.0000, 0.7500)  6 Pd 3.23, 6 Sb 3.40
Sb (0.3333, 0.6667, 0.1187)  3 Pd 2.67
Sb (0.3333, 0.6667, 0.3813)  3 Pd 2.67
Sb (0.6667, 0.3333, 0.6187)  3 Pd 2.67
Sb (0.6667, 0.3333, 0.8813)  3 Pd 2.67
Pd (0.3333, 0.6667, 0.6360)  3 Sb 2.67
Pd (0.3333, 0.6667, 0.8640)  3 Sb 2.67
Pd (0.6667, 0.3333, 0.1360)  3 Sb 2.67
Pd (0.6667, 0.3333, 0.3640)  3 Sb 2.67

E_form (uncorrected) ... -1.06 eV per atom
SG ... P6_3/mmc (194)

---

9.
## Pm2Ti2Fe15 (GGA-PBE)

Data for an optimized crystal structure of Pm2Ti2Fe15.

Cell lengths 6.4834, 6.4834, 6.4834 Å; angles 82.47, 82.47, 82.47 degrees
Closest atoms and distances in Å follow each position.
Fractional positions:
Pm (0.1508, 0.1508, 0.1508)  18 Fe 3.03-3.38, 1 Ti 3.11
Pm (0.8492, 0.8492, 0.8492)  18 Fe 3.03-3.38, 1 Ti 3.11
Ti (0.3972, 0.3972, 0.3972)  1 Ti 2.59, 12 Fe 2.60-2.84
Ti (0.6028, 0.6028, 0.6028)  1 Ti 2.59, 12 Fe 2.60-2.84
Fe (0.0000, 0.5000, 0.5000)  8 Fe 2.47, 2 Ti 2.60
Fe (0.1582, 0.1582, 0.6581)  8 Fe 2.47-2.65, 1 Ti 2.63
Fe (0.1582, 0.6581, 0.1582)  8 Fe 2.47-2.65, 1 Ti 2.63
Fe (0.2046, 0.5000, 0.7954)  8 Fe 2.47-2.65
Fe (0.2046, 0.7954, 0.5000)  8 Fe 2.47-2.65
Fe (0.3419, 0.8418, 0.8418)  8 Fe 2.47-2.65, 1 Ti 2.63
Fe (0.5000, 0.0000, 0.5000)  8 Fe 2.47, 2 Ti 2.60
Fe (0.5000, 0.2046, 0.7954)  8 Fe 2.47-2.65
Fe (0.5000, 0.5000, 0.0000)  8 Fe 2.47, 2 Ti 2.60
Fe (0.5000, 0.7954, 0.2046)  8 Fe 2.47-2.65
Fe (0.6581, 0.1582, 0.1582)  8 Fe 2.47-2.65, 1 Ti 2.63
Fe (0.7954, 0.2046, 0.5000)  8 Fe 2.47-2.65
Fe (0.7954, 0.5000, 0.2046)  8 Fe 2.47-2.65
Fe (0.8418, 0.3419, 0.8418)  8 Fe 2.47-2.65, 1 Ti 2.63
Fe (0.8418, 0.8418, 0.3419)  8 Fe 2.47-2.65, 1 Ti 2.63

Raw total energy ... -153.24 eV for the cell shown
SG ... R-3m (166)

---

10.
## ZrSc3Ru (GGA-PBE)

Data for an optimized crystal structure of ZrSc3Ru.

Cell lengths 6.0431, 6.0431, 11.2091 Å; angles 93.41, 93.41, 31.67 degrees
Closest atoms and distances in Å follow each position.
Fractional positions:
Zr (0.0313, 0.0313, 0.1937)  2 Ru 2.72
Zr (0.9687, 0.9687, 0.8063)  2 Ru 2.72
Sc (0.1248, 0.1248, 0.4633)  4 Ru 2.74-2.83, 1 Sc 3.06
Sc (0.2273, 0.2273, 0.7457)  2 Ru 2.82, 1 Zr 3.12
Sc (0.3682, 0.3682, 0.0250)  4 Zr 3.07-3.23, 8 Sc 3.15-3.44
Sc (0.6318, 0.6318, 0.9750)  4 Zr 3.07-3.23, 8 Sc 3.15-3.44
Sc (0.7727, 0.7727, 0.2543)  2 Ru 2.82, 1 Zr 3.12
Sc (0.8752, 0.8752, 0.5367)  4 Ru 2.74-2.83, 1 Sc 3.06
Ru (0.4471, 0.4471, 0.3604)  2 Zr 2.72, 6 Sc 2.74-2.83
Ru (0.5529, 0.5529, 0.6396)  2 Zr 2.72, 6 Sc 2.74-2.83

SG ... C2/m (12)
Energy relative to the lowest polymorph listed for this composition ... 0.000 eV per atom

---

11.
## AcLa2P (GGA-PBE)

Data for an optimized crystal structure of AcLa2P.

Cell lengths 3.7781, 3.7781, 8.9125 Å; angles 90.00, 90.00, 90.00 degrees
Closest atoms and distances in Å follow each position.
Fractional positions:
Ac (0.0000, 0.0000, 0.0000)  4 Ac 3.78, 8 La 3.91
La (0.5000, 0.5000, 0.3201)  4 P 3.12, 1 La 3.21
La (0.5000, 0.5000, 0.6799)  4 P 3.12, 1 La 3.21
P (0.0000, 0.0000, 0.5000)  8 La 3.12

SG ... P4/mmm (123)
Energy relative to the lowest polymorph listed for this composition ... 0.135 eV per atom

---

12.
## Tb2MgScO (GGA-PBE)

Data for an optimized crystal structure of Tb2MgScO.

Cell lengths 4.9301, 4.9301, 4.3821 Å; angles 90.00, 90.00, 90.00 degrees
Closest atoms and distances in Å follow each position.
Fractional positions:
Tb (0.0000, 0.5000, 0.0000)  2 O 2.47
Tb (0.5000, 0.0000, 0.0000)  2 O 2.47
Mg (0.0000, 0.0000, 0.5000)  8 Tb 3.30, 4 Sc 3.49
Sc (0.5000, 0.5000, 0.5000)  2 O 2.19
O (0.5000, 0.5000, 0.0000)  2 Sc 2.19

E_form (uncorrected) ... -1.21 eV per atom
SG ... P4/mmm (123)